# 1
A geometry-optimized TbNi5Au structure, computed with PBE-GGA. Values from VASP.

Cell and atoms, written as Quantum ESPRESSO input:
```
&SYSTEM
  ibrav = 0, nat = 28, ntyp = 3
/
ATOMIC_SPECIES
Tb 158.93 Tb.upf
Ni 58.69 Ni.upf
Au 196.97 Au.upf
ATOMIC_POSITIONS angstrom
Tb 3.642 6.053 0.615
Tb 1.214 1.939 9.584
Tb 3.642 2.057 4.485
Tb 1.214 5.935 5.714
Ni 3.642 7.268 5.288
Ni 2.423 4.533 8.309
Ni 0.005 4.533 8.309
Ni 0.005 0.537 6.989
Ni 4.852 7.455 3.210
Ni 3.642 2.502 7.705
Ni 3.642 6.497 7.593
Ni 3.642 4.416 6.209
Ni 1.214 3.576 3.990
Ni 1.214 1.494 2.606
Ni 4.852 3.459 1.890
Ni 1.214 7.571 1.110
Ni 2.423 0.537 6.989
Ni 3.642 0.420 9.089
Ni 2.433 3.459 1.890
Ni 1.214 0.724 4.911
Ni 1.214 4.720 0.189
Ni 3.642 3.272 10.010
Ni 1.214 5.490 2.494
Ni 2.433 7.455 3.210
Au 3.642 5.090 3.693
Au 3.642 1.094 1.406
Au 1.214 6.898 8.793
Au 1.214 2.902 6.506
CELL_PARAMETERS angstrom
4.856 0.000 0.000
0.000 7.992 0.000
0.000 0.000 10.199
```

Values from the calculation:
- energy of formation (meV/atom) = -279
- symmetry = No. 62

***

# 2
A geometry-optimized Tb5Ni2Au2 structure, computed with PBE-GGA. Values from VASP.

Cell and atoms, written as Quantum ESPRESSO input:
```
&SYSTEM
  ibrav = 0, nat = 18, ntyp = 3
/
ATOMIC_SPECIES
Tb 158.93 Tb.upf
Ni 58.69 Ni.upf
Au 196.97 Au.upf
ATOMIC_POSITIONS angstrom
Tb 0.482 5.129 2.317
Tb 6.040 6.250 8.267
Tb 3.891 6.250 3.555
Tb 3.410 3.793 1.238
Tb 4.963 2.457 3.944
Tb 7.112 2.457 8.656
Tb 1.554 1.336 2.706
Tb 0.000 0.000 0.000
Tb 3.702 1.336 7.418
Tb 2.630 5.129 7.029
Ni 0.795 2.896 0.288
Ni 6.024 4.690 2.187
Ni 2.615 6.689 0.949
Ni 4.204 0.897 1.526
Au 2.306 3.793 4.277
Au 5.716 0.000 5.514
Au 5.287 3.793 6.697
Au 1.877 0.000 5.459
CELL_PARAMETERS angstrom
6.819 0.000 2.475
0.000 7.586 0.000
0.774 0.000 8.498
```

Values from the calculation:
- energy of formation (meV/atom) = -551
- symmetry = No. 64

***

# 3
A geometry-optimized Tb5Ni2Au structure, computed with PBE-GGA. Values from VASP.

Cell and atoms, written as Quantum ESPRESSO input:
```
&SYSTEM
  ibrav = 0, nat = 16, ntyp = 3
/
ATOMIC_SPECIES
Ni 58.69 Ni.upf
Tb 158.93 Tb.upf
Au 196.97 Au.upf
ATOMIC_POSITIONS angstrom
Ni 4.139 0.843 -2.453
Ni 0.284 2.537 -1.637
Ni 1.250 5.917 -4.094
Ni 5.105 4.223 -4.910
Tb 3.974 6.504 -3.485
Tb -0.828 3.311 4.305
Tb 2.695 3.380 -3.273
Tb 5.958 3.124 -2.420
Tb 0.000 0.000 0.000
Tb 1.155 -0.070 5.370
Tb 0.777 5.324 -1.276
Tb 2.761 1.944 -0.211
Tb 2.369 4.491 2.097
Tb 4.353 1.111 3.162
Au 3.912 4.907 -0.694
Au 1.218 1.527 2.579
CELL_PARAMETERS angstrom
6.934 0.000 -3.273
-1.545 6.760 -3.273
-0.259 -0.325 8.432
```

Values from the calculation:
- energy of formation (meV/atom) = -446
- symmetry = No. 140

***

# 4
A geometry-optimized Tb4NiAu3 structure, computed with PBE-GGA. Values from VASP.

Cell and atoms, written as Quantum ESPRESSO input:
```
&SYSTEM
  ibrav = 0, nat = 8, ntyp = 3
/
ATOMIC_SPECIES
Au 196.97 Au.upf
Tb 158.93 Tb.upf
Ni 58.69 Ni.upf
ATOMIC_POSITIONS angstrom
Au -7.577 4.261 -5.067
Au -3.327 2.422 -1.603
Au -6.277 2.151 -1.128
Tb -8.574 3.824 -2.234
Tb -4.459 -0.429 -1.669
Tb -5.315 2.614 -3.977
Tb -1.097 0.799 -0.528
Ni -2.305 -1.997 -0.631
CELL_PARAMETERS angstrom
-0.263 -2.320 -2.961
-3.035 -2.628 2.329
-8.084 5.886 -3.894
```

Values from the calculation:
- energy of formation (meV/atom) = -756
- symmetry = No. 25

***

What did the first record say?
A geometry-optimized TbNi5Au structure, computed with PBE-GGA. Values from VASP.

Cell and atoms, written as Quantum ESPRESSO input:
```
&SYSTEM
  ibrav = 0, nat = 28, ntyp = 3
/
ATOMIC_SPECIES
Tb 158.93 Tb.upf
Ni 58.69 Ni.upf
Au 196.97 Au.upf
ATOMIC_POSITIONS angstrom
Tb 3.642 6.053 0.615
Tb 1.214 1.939 9.584
Tb 3.642 2.057 4.485
Tb 1.214 5.935 5.714
Ni 3.642 7.268 5.288
Ni 2.423 4.533 8.309
Ni 0.005 4.533 8.309
Ni 0.005 0.537 6.989
Ni 4.852 7.455 3.210
Ni 3.642 2.502 7.705
Ni 3.642 6.497 7.593
Ni 3.642 4.416 6.209
Ni 1.214 3.576 3.990
Ni 1.214 1.494 2.606
Ni 4.852 3.459 1.890
Ni 1.214 7.571 1.110
Ni 2.423 0.537 6.989
Ni 3.642 0.420 9.089
Ni 2.433 3.459 1.890
Ni 1.214 0.724 4.911
Ni 1.214 4.720 0.189
Ni 3.642 3.272 10.010
Ni 1.214 5.490 2.494
Ni 2.433 7.455 3.210
Au 3.642 5.090 3.693
Au 3.642 1.094 1.406
Au 1.214 6.898 8.793
Au 1.214 2.902 6.506
CELL_PARAMETERS angstrom
4.856 0.000 0.000
0.000 7.992 0.000
0.000 0.000 10.199
```

Values from the calculation:
- energy of formation (meV/atom) = -279
- symmetry = No. 62